Record 1
VASP calculation (GGA-PBE) on Pr16Sm6Dy7 after structural relaxation.

Structure (POSCAR):
```
Pr16Sm6Dy7
1.0
0.000 8.078 8.078
8.078 0.000 8.078
8.078 8.078 0.000
Pr Sm Dy
16 6 7
Cartesian
10.502 5.655 5.655 Pr
2.033 2.033 2.033 Pr
6.045 6.045 2.033 Pr
6.045 2.033 6.045 Pr
5.655 5.655 5.655 Pr
10.502 10.502 5.655 Pr
10.502 5.655 10.502 Pr
14.124 10.112 10.112 Pr
2.033 6.045 6.045 Pr
5.655 10.502 5.655 Pr
5.655 5.655 10.502 Pr
10.502 10.502 10.502 Pr
10.112 14.124 10.112 Pr
10.112 10.112 14.124 Pr
14.124 14.124 14.124 Pr
5.655 10.502 10.502 Pr
8.078 8.078 4.311 Sm
8.078 4.311 8.078 Sm
11.846 8.078 8.078 Sm
4.311 8.078 8.078 Sm
8.078 11.846 8.078 Sm
8.078 8.078 11.846 Sm
0.000 0.000 0.000 Dy
4.039 4.039 0.000 Dy
4.039 0.000 4.039 Dy
8.078 4.039 4.039 Dy
0.000 4.039 4.039 Dy
4.039 8.078 4.039 Dy
4.039 4.039 8.078 Dy
```

Results
energy of formation from the pure elements	0.1995	eV/atom

=====

Record 2
VASP calculation (GGA-PBE) on CaGa2SbS6 after structural relaxation.

Structure (POSCAR):
```
CaGa2SbS6
1.0
6.165 -5.880 0.000
6.165 5.880 0.000
-1.295 0.000 6.595
Ca Ga Sb S
2 4 2 12
Cartesian
5.194 4.774 4.947 Ca
5.841 -4.774 1.649 Ca
2.879 1.028 4.767 Ga
3.526 -1.028 1.469 Ga
7.509 1.028 5.127 Ga
8.157 -1.028 1.829 Ga
5.841 2.670 1.649 Sb
5.194 -2.670 4.947 Sb
0.594 1.191 4.284 S
3.400 2.897 5.909 S
1.242 -1.191 0.986 S
3.837 0.942 2.619 S
6.988 2.897 3.984 S
3.190 -0.942 5.917 S
7.846 0.942 0.679 S
4.047 -2.897 2.611 S
7.198 -0.942 3.977 S
9.794 1.191 5.609 S
7.635 -2.897 0.687 S
10.441 -1.191 2.311 S
```

=====

Record 3
VASP calculation (GGA-PBE) on PrSm2Te5 after structural relaxation.

Structure (POSCAR):
```
PrSm2Te5
1.0
-4.141 4.141 7.209
4.141 -4.141 7.209
4.141 4.141 -7.209
Pr Sm Te
2 4 10
Cartesian
0.000 0.000 3.605 Pr
0.000 0.000 10.814 Pr
5.397 1.255 0.000 Sm
1.255 2.886 0.000 Sm
2.886 1.255 7.209 Sm
-1.255 2.886 7.209 Sm
0.000 0.000 0.000 Te
2.845 1.297 -2.145 Te
2.845 -1.297 5.064 Te
2.845 1.297 2.145 Te
2.845 -1.297 9.355 Te
0.000 0.000 7.209 Te
1.297 5.438 -2.145 Te
1.297 2.845 5.064 Te
1.297 5.438 2.145 Te
1.297 2.845 9.355 Te
```

=====

Record 4
VASP calculation (GGA-PBE) on LaSb2WI after structural relaxation.

Structure (POSCAR):
```
LaSb2WI
1.0
5.210 0.000 0.000
0.000 5.210 0.000
0.000 0.000 5.752
La Sb W I
1 2 1 1
Cartesian
0.000 0.000 0.000 La
0.000 2.605 2.876 Sb
2.605 0.000 2.876 Sb
2.605 2.605 2.876 W
2.605 2.605 0.000 I
```

Results
E above lowest polymorph	0	kJ/mol of formula units

=====

Record 5
VASP calculation (GGA-PBE) on LiPuH8Pt2 after structural relaxation.

Structure (POSCAR):
```
LiPuH8Pt2
1.0
2.372 1.369 5.499
-2.372 1.369 5.499
0.000 -2.739 5.499
Li Pu H Pt
1 1 8 2
Cartesian
0.000 0.000 0.000 Li
0.000 0.000 8.249 Pu
-1.413 0.040 6.452 H
0.000 0.000 2.982 H
-0.741 -1.204 10.046 H
0.672 -1.244 6.452 H
-0.672 1.244 10.046 H
0.741 1.204 6.452 H
0.000 0.000 13.515 H
1.413 -0.040 10.046 H
0.000 0.000 4.632 Pt
0.000 0.000 11.866 Pt
```

=====

Record 6
VASP calculation (GGA-PBE) on Na2AlReSb after structural relaxation.

Structure (POSCAR):
```
Na2AlReSb
1.0
5.553 0.000 0.000
0.000 5.553 0.000
0.000 0.000 5.207
Na Al Re Sb
2 1 1 1
Cartesian
0.000 2.777 0.000 Na
2.777 0.000 0.000 Na
0.000 0.000 0.000 Al
2.777 2.777 2.603 Re
0.000 0.000 2.603 Sb
```

=====

Record 7
VASP calculation (GGA-PBE) on MnBeAu2 after structural relaxation.

Structure (POSCAR):
```
MnBeAu2
1.0
3.093 0.000 0.000
0.000 4.380 0.000
0.000 0.000 8.752
Mn Be Au
2 2 4
Cartesian
0.000 0.000 0.000 Mn
1.546 2.190 4.376 Mn
0.000 2.190 6.365 Be
1.546 0.000 1.989 Be
0.000 0.000 3.785 Au
0.000 2.190 1.904 Au
1.546 0.000 6.280 Au
1.546 2.190 8.161 Au
```

Results
energy of formation from the pure elements	0.0018	eV/atom

=====

Record 8
VASP calculation (GGA-PBE) on BaTlP after structural relaxation.

Structure (POSCAR):
```
BaTlP
1.0
3.912 0.000 0.000
0.000 3.912 0.000
0.000 0.000 11.634
Ba Tl P
2 2 2
Cartesian
0.000 0.000 0.000 Ba
1.956 1.956 5.817 Ba
0.000 0.000 3.335 Tl
1.956 1.956 9.152 Tl
0.000 0.000 7.794 P
1.956 1.956 1.977 P
```

Results
energy of formation from the pure elements	-0.3379	eV/atom
E above lowest polymorph	83	kJ/mol of formula units

=====

Record 9
VASP calculation (GGA-PBE) on ScPb4F10 after structural relaxation.

Structure (POSCAR):
```
ScPb4F10
1.0
-4.511 4.511 3.081
4.511 -4.511 3.081
4.511 4.511 -3.081
Sc Pb F
1 4 10
Cartesian
0.000 0.000 0.000 Sc
5.430 1.844 0.000 Pb
1.844 3.593 0.000 Pb
2.667 0.919 3.081 Pb
-0.919 2.667 3.081 Pb
3.692 2.896 -1.804 F
1.615 -0.820 1.277 F
4.511 0.000 1.541 F
2.896 5.331 -1.804 F
0.820 1.615 1.277 F
3.692 2.896 1.804 F
1.615 -0.820 4.885 F
0.000 4.511 1.541 F
2.896 5.331 1.804 F
0.820 1.615 4.885 F
```

=====

Record 10
VASP calculation (GGA-PBE) on Ca2PaTaO8 after structural relaxation.

Structure (POSCAR):
```
Ca2PaTaO8
1.0
5.141 0.000 0.000
0.000 6.845 0.000
-0.192 0.000 5.148
Ca Pa Ta O
2 1 1 8
Cartesian
0.000 1.658 0.000 Ca
0.000 5.187 0.000 Ca
2.475 3.422 2.574 Pa
2.475 0.000 2.574 Ta
1.073 3.422 1.127 O
1.109 0.000 1.165 O
1.531 1.539 3.492 O
1.531 5.306 3.492 O
3.419 1.539 1.656 O
3.419 5.306 1.656 O
3.841 0.000 3.983 O
3.876 3.422 4.021 O
```

=====

Record 11
VASP calculation (GGA-PBE) on BeIrPb after structural relaxation.

Structure (POSCAR):
```
BeIrPb
1.0
3.089 0.000 0.000
-1.545 2.676 0.000
0.000 0.000 6.448
Be Ir Pb
1 1 1
Cartesian
0.000 0.000 0.000 Be
1.545 0.892 1.407 Ir
0.000 1.784 3.843 Pb
```

Results
energy of formation from the pure elements	0.3503	eV/atom
E above lowest polymorph	71	kJ/mol of formula units

=====

Here are the calculated electronic total energy numbers, same order: -4.52, -4.41, -4.99, -5.32, -4.71, -3.10, -4.86, -3.57, -5.23, -8.20, -5.08 (eV/atom).